Record 1
Here is a relaxed structure of Mn4V5Fe from Alexandria via LeMat-Bulk. Energies are from GGA-PBE.

Output
Energy of formation = -0.25 eV/atom

Lattice parameters (Å, degrees): 2.872 2.872 14.316 90.00 90.00 90.00
Element x y z (fractional)
Mn: 0.000 0.000 0.100
Mn: 0.000 0.000 0.301
Mn: 0.000 0.000 0.699
Mn: 0.000 0.000 0.900
V: 0.500 0.500 0.000
V: 0.500 0.500 0.200
V: 0.500 0.500 0.399
V: 0.500 0.500 0.601
V: 0.500 0.500 0.800
Fe: 0.000 0.000 0.500

=====

Record 2
Here is a relaxed structure of PmEuBi from Alexandria via LeMat-Bulk. Energies are from GGA-PBE.

Output
Energy of formation = -0.38 eV/atom
Energy above the most stable polymorph in this dataset = 0.163 eV/atom

Lattice parameters (Å, degrees): 5.312 5.312 4.333 90.00 90.00 120.00
Element x y z (fractional)
Pm: 0.000 0.000 0.000
Eu: 0.333 0.667 0.538
Bi: 0.667 0.333 0.177

=====

Record 3
Here is a relaxed structure of CaAl3O from Alexandria via LeMat-Bulk. Energies are from GGA-PBE.

Output
Energy above the most stable polymorph in this dataset = 1.979 eV/atom
Formation energy from raw total energies = 769 kJ/mol of formula units

Lattice parameters (Å, degrees): 5.693 5.693 5.693 90.00 90.00 90.00
Element x y z (fractional)
Ca: 0.000 0.000 0.000
Al: 0.000 0.000 0.500
Al: 0.000 0.500 0.000
Al: 0.500 0.000 0.000
O: 0.500 0.500 0.500

=====

Record 4
Here is a relaxed structure of NaHoTeSe from Alexandria via LeMat-Bulk. Energies are from GGA-PBE.

Output
Formation energy from raw total energies = -562 kJ/mol of formula units

Lattice parameters (Å, degrees): 7.997 7.997 7.997 30.65 30.65 30.65
Element x y z (fractional)
Na: 0.000 0.000 0.000
Ho: 0.160 0.160 0.160
Te: 0.575 0.575 0.575
Se: 0.759 0.759 0.759

=====

Record 5
Here is a relaxed structure of Li2CaRh2C from Alexandria via LeMat-Bulk. Energies are from GGA-PBE.

Output
Energy of formation = -0.17 eV/atom

Lattice parameters (Å, degrees): 4.085 4.085 5.535 90.00 90.00 90.00
Element x y z (fractional)
Li: 0.000 0.000 0.238
Li: 0.000 0.000 0.762
Ca: 0.500 0.500 0.000
Rh: 0.000 0.500 0.500
Rh: 0.500 0.000 0.500
C: 0.500 0.500 0.500

=====

Record 6
Here is a relaxed structure of FeOs3 from Alexandria via LeMat-Bulk. Energies are from GGA-PBE.

Output
Energy of formation = 0.16 eV/atom

Lattice parameters (Å, degrees): 5.353 5.353 3.787 90.00 90.00 90.36
Element x y z (fractional)
Fe: 0.119 0.881 0.750
Fe: 0.881 0.119 0.250
Os: 0.119 0.365 0.750
Os: 0.365 0.119 0.250
Os: 0.372 0.628 0.250
Os: 0.628 0.372 0.750
Os: 0.635 0.881 0.750
Os: 0.881 0.635 0.250

=====

Record 7
Here is a relaxed structure of PmYAgAu from Alexandria via LeMat-Bulk. Energies are from GGA-PBE.

Output
Energy of formation = -0.57 eV/atom
Energy above the most stable polymorph in this dataset = 0.000 eV/atom

Lattice parameters (Å, degrees): 3.640 3.640 7.435 90.00 90.00 90.00
Element x y z (fractional)
Pm: 0.000 0.000 0.000
Y: 0.000 0.000 0.489
Ag: 0.500 0.500 0.731
Au: 0.500 0.500 0.260

=====

Record 8
Here is a relaxed structure of Ac3Pr6Nd2 from Alexandria via LeMat-Bulk. Energies are from GGA-PBE.

Output
Energy of formation = 0.03 eV/atom

Lattice parameters (Å, degrees): 6.551 8.467 8.484 107.47 105.04 97.46
Element x y z (fractional)
Ac: 0.000 0.000 0.000
Ac: 0.095 0.814 0.366
Ac: 0.905 0.186 0.634
Pr: 0.186 0.637 0.731
Pr: 0.363 0.281 0.454
Pr: 0.455 0.095 0.821
Pr: 0.545 0.905 0.179
Pr: 0.637 0.719 0.546
Pr: 0.814 0.363 0.269
Nd: 0.277 0.458 0.091
Nd: 0.723 0.542 0.909

=====

Record 9
Here is a relaxed structure of Ca3Mg from Alexandria via LeMat-Bulk. Energies are from GGA-PBE.

Output
Energy of formation = -0.01 eV/atom

Lattice parameters (Å, degrees): 7.448 7.448 6.035 90.00 90.00 120.00
Element x y z (fractional)
Ca: 0.170 0.341 0.250
Ca: 0.170 0.830 0.250
Ca: 0.341 0.170 0.750
Ca: 0.659 0.830 0.250
Ca: 0.830 0.170 0.750
Ca: 0.830 0.659 0.750
Mg: 0.333 0.667 0.750
Mg: 0.667 0.333 0.250

=====

Record 10
Here is a relaxed structure of InRhCl2 from Alexandria via LeMat-Bulk. Energies are from GGA-PBE.

Output
Energy above the most stable polymorph in this dataset = 0.632 eV/atom
Formation energy from raw total energies = 72 kJ/mol of formula units

Lattice parameters (Å, degrees): 4.794 4.794 4.794 60.00 60.00 60.00
Element x y z (fractional)
In: 0.000 0.000 0.000
Rh: 0.750 0.750 0.750
Cl: 0.250 0.250 0.250
Cl: 0.500 0.500 0.500

=====

Record 11
Here is a relaxed structure of RbInH2 from Alexandria via LeMat-Bulk. Energies are from GGA-PBE.

Output
Energy = -19.462 eV/cell

Lattice parameters (Å, degrees): 7.358 7.358 7.358 137.15 137.15 62.21
Element x y z (fractional)
Rb: 0.000 0.000 0.000
Rb: 0.750 0.250 0.500
In: 0.250 0.750 0.500
In: 0.500 0.500 0.000
H: 0.316 0.625 0.191
H: 0.375 0.566 0.691
H: 0.434 0.125 0.809
H: 0.875 0.684 0.309

=====

Record 12
Here is a relaxed structure of HfTl3Si from Alexandria via LeMat-Bulk. Energies are from GGA-PBE.

Output
Energy above the most stable polymorph in this dataset = 0.057 eV/atom
Formation energy from raw total energies = 487 kJ/mol of formula units

Lattice parameters (Å, degrees): 5.590 5.590 5.590 90.00 90.00 90.00
Element x y z (fractional)
Hf: 0.000 0.000 0.000
Tl: 0.000 0.000 0.500
Tl: 0.000 0.500 0.000
Tl: 0.500 0.000 0.000
Si: 0.500 0.500 0.500

=====

| no. | total moment (μB/atom) |
| --- | --- |
| 1 | 0.04 |
| 2 | 2.53 |
| 3 | 0.00 |
| 4 | 0.00 |
| 5 | 0.00 |
| 6 | 0.24 |
| 7 | 0.00 |
| 8 | 0.00 |
| 9 | 0.00 |
| 10 | 0.11 |
| 11 | 0.00 |
| 12 | 0.00 |